# Dy5Zn2Cd, relaxed, DFT PBE
# total energy = -3.52 eV/atom
# total moment = 0.00 μB per formula unit
data_Dy5Zn2Cd
_chemical_formula_sum 'Dy10 Zn4 Cd2'
_cell_length_a 8.499
_cell_length_b 8.499
_cell_length_c 8.499
_cell_angle_alpha 122.33
_cell_angle_beta 122.33
_cell_angle_gamma 86.01
_space_group_name_H-M_alt 'P 1'
_space_group_IT_number 1
_space_group_name_Hall 'P 1'
loop_
_atom_site_label
_atom_site_fract_x
_atom_site_fract_y
_atom_site_fract_z
Dy1 0.000 0.000 0.000
Dy2 0.006 0.506 0.804
Dy3 0.202 0.006 0.500
Dy4 0.298 0.798 0.804
Dy5 0.494 0.298 0.500
Dy6 0.500 0.500 0.000
Dy7 0.506 0.702 0.500
Dy8 0.702 0.202 0.196
Dy9 0.798 0.994 0.500
Dy10 0.994 0.494 0.196
Zn1 0.141 0.359 0.500
Zn2 0.359 0.859 0.218
Zn3 0.641 0.141 0.782
Zn4 0.859 0.641 0.500
Cd1 0.250 0.250 0.000
Cd2 0.750 0.750 0.000